# GGA+U CeNbCrO6, relaxed
# Space group: P4_2nm, No. 102
# Uncorrected energy (eV for the cell shown): -153.56
# Crystal system: tetragonal
data_CeNbCrO6
_chemical_formula_sum 'Ce2 Nb2 Cr2 O12'
_cell_length_a 4.863
_cell_length_b 4.863
_cell_length_c 9.774
_cell_angle_alpha 90.00
_cell_angle_beta 90.00
_cell_angle_gamma 90.00
_symmetry_space_group_name_H-M 'P 1'
_symmetry_Int_Tables_number 1
_symmetry_space_group_name_Hall 'P 1'
loop_
_atom_site_label
_atom_site_type_symbol
_atom_site_fract_x
_atom_site_fract_y
_atom_site_fract_z
O1 O 0.204 0.796 0.818
O2 O 0.796 0.204 0.818
O3 O 0.704 0.704 0.318
O4 O 0.296 0.296 0.318
O5 O 0.822 0.178 0.500
O6 O 0.322 0.322 0.000
O7 O 0.702 0.702 0.686
O8 O 0.678 0.678 0.000
O9 O 0.202 0.798 0.186
O10 O 0.798 0.202 0.186
O11 O 0.298 0.298 0.686
O12 O 0.178 0.822 0.500
Nb1 Nb 0.500 0.500 0.829
Nb2 Nb 0.000 0.000 0.329
Ce1 Ce 0.500 0.500 0.495
Ce2 Ce 0.000 0.000 0.995
Cr1 Cr 0.000 0.000 0.666
Cr2 Cr 0.500 0.500 0.166